Record 1
This record from Alexandria describes a relaxed structure of RbLaHf2Co. The functional is GGA-PBE.

* E_form: 0.7871 eV per atom
* uncorrected energy: -5.7944 eV/atom

a = 4.8840 Å, b = 4.8840 Å, c = 6.0459 Å
α = 90.00°, β = 90.00°, γ = 90.00°
With the nearest neighbours (Å) after each atom.
Space group P4/mmm (No. 123)
Asymmetric unit:
Rb 0.0000 0.0000 0.0000 [1 per cell]  2 Co 3.02
La 0.5000 0.5000 0.0000 [1 per cell]  4 Rb 3.45
Hf 0.0000 0.5000 0.5000 [2 per cell]  2 Co 2.44
Co 0.0000 0.0000 0.5000 [1 per cell]  4 Hf 2.44

Record 2
This record from Alexandria describes a relaxed structure of Th8CoTe4S3. The functional is GGA-PBE.

* uncorrected energy: -6.9956 eV/atom
* energy relative to the elements, uncorrected: -20.52 eV/f.u.

a = 8.3032 Å, b = 8.3032 Å, c = 22.2127 Å
α = 90.00°, β = 90.00°, γ = 120.00°
With the nearest neighbours (Å) after each atom.
Space group R-3m (No. 166, hexagonal axes)
Asymmetric unit:
Th 0.0000 0.0000 0.2361 [6 per cell]  3 S 2.85
Th 0.0101 0.5051 0.2354 [18 per cell]  1 Co 2.78, 2 S 2.87
Co 0.0000 0.0000 0.5000 [3 per cell]  6 Th 2.78
Te 0.0000 0.0000 0.0000 [3 per cell]  6 Th 3.29
Te 0.0000 0.5000 0.0000 [9 per cell]  6 Th 3.21-3.23
S 0.0000 0.5000 0.5000 [9 per cell]  6 Th 2.85-2.87

Record 3
This record from Alexandria describes a relaxed structure of HoScIn2. The functional is GGA-PBE.

* E_form: -0.4295 eV per atom
* uncorrected energy: -4.5261 eV/atom

a = 3.6382 Å, b = 3.6382 Å, c = 7.3622 Å
α = 90.00°, β = 90.00°, γ = 90.00°
With the nearest neighbours (Å) after each atom.
Space group P4/mmm (No. 123)
Asymmetric unit:
Ho 0.0000 0.0000 0.0000 [1 per cell]  8 In 3.23
Sc 0.0000 0.0000 0.5000 [1 per cell]  8 In 3.10
In 0.5000 0.5000 0.2658 [2 per cell]  4 Sc 3.10, 4 Ho 3.23, 1 In 3.45

Record 4
This record from Alexandria describes a relaxed structure of PPb2W. The functional is GGA-PBE.

* E_form: 0.9990 eV per atom
* uncorrected energy: -5.4460 eV/atom

a = 3.6970 Å, b = 4.7937 Å, c = 10.0715 Å
α = 90.00°, β = 90.00°, γ = 90.00°
With the nearest neighbours (Å) after each atom.
Space group Cmmm (No. 65)
Asymmetric unit:
P 0.0000 0.0000 0.0000 [2 per cell]  4 P 3.03, 4 Pb 3.21
Pb 0.0000 0.5000 0.2604 [4 per cell]  4 Pb 3.03, 2 W 3.04, 2 P 3.21
W 0.0000 0.0000 0.5000 [2 per cell]  4 W 3.03, 4 Pb 3.04